The following is a DFT calculation (PBE) of a relaxed structure of TaZn2Se2.

Properties
The raw formation energy is 150 meV per atom. As for the raw total energy: -20.62 eV for the cell shown.

a b c (Å): 4.9743 4.9743 5.3674
angles (deg): 90.00 90.00 90.00
With the nearest neighbours (Å) after each atom.
Space group P4/mmm (No. 123)
Symmetry-distinct sites (fractional):
Ta 0.0000 0.0000 0.0000  4 Se 2.49, 2 Zn 2.68
Zn 0.0000 0.0000 0.5000  2 Ta 2.68
Zn 0.5000 0.5000 0.5000  4 Zn 3.52, 8 Se 3.66
Se 0.0000 0.5000 0.0000  2 Ta 2.49